(1)
! CaCu2Hg (SCAN, single point on PBEsol structure); values from VASP
&SYSTEM
  ibrav = 0, nat = 4, ntyp = 3
/
ATOMIC_SPECIES
Ca 40.08 Ca.upf
Cu 63.55 Cu.upf
Hg 200.59 Hg.upf
ATOMIC_POSITIONS crystal
Ca 0.5000 0.5000 0.7718
Cu 0.0000 0.0000 0.0611
Cu 0.5000 0.5000 0.2116
Hg 0.0000 0.0000 0.4555
CELL_PARAMETERS angstrom
-0.3412 3.2063 0.6539
-0.1532 -0.6723 3.2170
6.5902 0.6112 0.4415
! ΔH_f (0 K) ... -0.100 eV/atom

=====

(2)
! Ca2CuHg (SCAN, single point on PBEsol structure); values from VASP
&SYSTEM
  ibrav = 0, nat = 4, ntyp = 3
/
ATOMIC_SPECIES
Ca 40.08 Ca.upf
Hg 200.59 Hg.upf
Cu 63.55 Cu.upf
ATOMIC_POSITIONS crystal
Ca 0.1059 0.0000 0.2118
Ca 0.3945 0.5000 0.7889
Hg 0.6816 0.5000 0.3633
Cu 0.8189 0.0000 0.6379
CELL_PARAMETERS angstrom
-2.1119 1.2063 3.2022
0.3464 -4.1305 1.7844
5.7705 0.8920 0.9448
! ΔH_f (0 K) ... -0.389 eV/atom

=====

(3)
! CaCu2Hg (SCAN, single point on PBEsol structure); values from VASP
&SYSTEM
  ibrav = 0, nat = 4, ntyp = 3
/
ATOMIC_SPECIES
Ca 40.08 Ca.upf
Cu 63.55 Cu.upf
Hg 200.59 Hg.upf
ATOMIC_POSITIONS crystal
Ca 0.5000 0.5000 0.5000
Cu 0.0000 0.0000 0.0000
Cu 0.7500 0.7500 0.7500
Hg 0.2500 0.2500 0.2500
CELL_PARAMETERS angstrom
4.6719 0.0000 0.0000
2.3360 4.0460 0.0000
2.3360 1.3487 3.8146
! ΔH_f (0 K) ... -0.001 eV/atom

=====

(4)
! Ca2CuHg (SCAN, single point on PBEsol structure); values from VASP
&SYSTEM
  ibrav = 0, nat = 4, ntyp = 3
/
ATOMIC_SPECIES
Ca 40.08 Ca.upf
Hg 200.59 Hg.upf
Cu 63.55 Cu.upf
ATOMIC_POSITIONS crystal
Ca 0.0000 0.0000 0.7637
Ca 0.0000 0.0000 0.2364
Hg 0.5000 0.5000 0.5000
Cu 0.5000 0.5000 0.0000
CELL_PARAMETERS angstrom
3.5968 0.0000 0.0000
0.0000 3.5968 0.0000
0.0000 0.0000 7.2802
! ΔH_f (0 K) ... -0.351 eV/atom

=====

(5)
! KCaCuHg2 (SCAN, single point on PBEsol structure); values from VASP
&SYSTEM
  ibrav = 0, nat = 5, ntyp = 4
/
ATOMIC_SPECIES
K 39.10 K.upf
Ca 40.08 Ca.upf
Hg 200.59 Hg.upf
Cu 63.55 Cu.upf
ATOMIC_POSITIONS crystal
K 0.0000 0.0000 0.5000
Ca 0.0000 0.0000 0.0000
Hg 0.0000 0.5000 0.0000
Hg 0.5000 0.0000 0.0000
Cu 0.5000 0.5000 0.5000
CELL_PARAMETERS angstrom
-0.3609 -5.4446 -2.0154
5.5244 0.2989 -1.7966
2.1676 -2.4594 6.2559
! ΔH_f (0 K) ... 0.677 eV/atom

=====

(6)
! CaCuIO2 (SCAN, single point on PBEsol structure); values from VASP
&SYSTEM
  ibrav = 0, nat = 5, ntyp = 4
/
ATOMIC_SPECIES
I 126.90 I.upf
Ca 40.08 Ca.upf
O 16.00 O.upf
Cu 63.55 Cu.upf
ATOMIC_POSITIONS crystal
I 0.0000 0.0000 0.5000
Ca 0.0000 0.0000 0.0000
O 0.0000 0.5000 0.0000
O 0.5000 0.0000 0.0000
Cu 0.5000 0.5000 0.5000
CELL_PARAMETERS angstrom
-2.6262 3.2108 -0.5450
-2.3862 -2.3736 -2.4850
-3.4297 -1.9328 5.1394
! Formation energy (no corrections) ... -0.422 eV/atom

=====

(7)
! CaCuSb2I (SCAN, single point on PBEsol structure); values from VASP
&SYSTEM
  ibrav = 0, nat = 5, ntyp = 4
/
ATOMIC_SPECIES
I 126.90 I.upf
Sb 121.76 Sb.upf
Ca 40.08 Ca.upf
Cu 63.55 Cu.upf
ATOMIC_POSITIONS crystal
I 0.0000 0.0000 0.5000
Sb 0.0000 0.5000 0.0000
Sb 0.5000 0.0000 0.0000
Ca 0.5000 0.5000 0.5000
Cu 0.0000 0.0000 0.0000
CELL_PARAMETERS angstrom
-2.1884 2.5989 -3.5364
-4.2179 -2.3370 0.8926
-1.5057 4.2729 4.0720
! Formation energy (no corrections) ... -0.112 eV/atom

=====

(8)
! CaZr2CuI (SCAN, single point on PBEsol structure); values from VASP
&SYSTEM
  ibrav = 0, nat = 5, ntyp = 4
/
ATOMIC_SPECIES
I 126.90 I.upf
Ca 40.08 Ca.upf
Cu 63.55 Cu.upf
Zr 91.22 Zr.upf
ATOMIC_POSITIONS crystal
I 0.0000 0.0000 0.0000
Ca 0.0000 0.0000 0.5000
Cu 0.5000 0.5000 0.5000
Zr 0.0000 0.5000 0.0000
Zr 0.5000 0.0000 0.0000
CELL_PARAMETERS angstrom
5.1982 0.0000 0.0000
0.0000 5.1982 0.0000
0.0000 0.0000 5.5176
! Formation energy (no corrections) ... 1.000 eV/atom

=====

(9)
! CaInCu2 (SCAN, single point on PBEsol structure); values from VASP
&SYSTEM
  ibrav = 0, nat = 4, ntyp = 3
/
ATOMIC_SPECIES
Ca 40.08 Ca.upf
Cu 63.55 Cu.upf
In 114.82 In.upf
ATOMIC_POSITIONS crystal
Ca 0.5000 0.5000 0.7837
Cu 0.0000 0.0000 0.0629
Cu 0.5000 0.5000 0.2103
In 0.0000 0.0000 0.4430
CELL_PARAMETERS angstrom
3.2419 0.0000 0.0000
0.0000 3.2419 0.0000
0.0000 0.0000 7.0101
! ΔH_f (0 K) ... -0.080 eV/atom

=====

(10)
! CaIn2Cu (SCAN, single point on PBEsol structure); values from VASP
&SYSTEM
  ibrav = 0, nat = 4, ntyp = 3
/
ATOMIC_SPECIES
Ca 40.08 Ca.upf
Cu 63.55 Cu.upf
In 114.82 In.upf
ATOMIC_POSITIONS crystal
Ca 0.0000 0.0000 0.5268
Cu 0.5000 0.5000 0.7914
In 0.0000 0.0000 0.9567
In 0.5000 0.5000 0.2250
CELL_PARAMETERS angstrom
-0.0689 -0.6094 -3.4253
-0.3811 -3.4040 0.6133
-7.2895 0.8164 0.0014
! ΔH_f (0 K) ... -0.122 eV/atom

=====

(11)
! CaIn2Cu (SCAN, single point on PBEsol structure); values from VASP
&SYSTEM
  ibrav = 0, nat = 8, ntyp = 3
/
ATOMIC_SPECIES
Ca 40.08 Ca.upf
Cu 63.55 Cu.upf
In 114.82 In.upf
ATOMIC_POSITIONS crystal
Ca 0.9330 0.8661 0.7500
Ca 0.0670 0.1339 0.2500
Cu 0.2166 0.4333 0.7500
Cu 0.7834 0.5667 0.2500
In 0.6433 0.2867 0.5514
In 0.3567 0.7133 0.0514
In 0.6433 0.2867 0.9486
In 0.3567 0.7133 0.4486
CELL_PARAMETERS angstrom
-1.8145 3.2659 -2.2747
1.7739 -4.2902 -3.3693
-6.6436 -3.2474 0.6372
! ΔH_f (0 K) ... -0.424 eV/atom

=====

(12)
! CaIn2Cu2 (SCAN, single point on PBEsol structure); values from VASP
&SYSTEM
  ibrav = 0, nat = 5, ntyp = 3
/
ATOMIC_SPECIES
Ca 40.08 Ca.upf
Cu 63.55 Cu.upf
In 114.82 In.upf
ATOMIC_POSITIONS crystal
Ca 0.0000 0.0000 0.0000
Cu 0.3924 0.3924 0.7848
Cu 0.6076 0.6076 0.2152
In 0.2500 0.7500 0.5000
In 0.7500 0.2500 0.5000
CELL_PARAMETERS angstrom
-3.9066 1.5265 0.9903
-0.3935 -2.9987 3.0702
4.4078 4.1580 1.6013
! ΔH_f (0 K) ... -0.231 eV/atom

=====

| no. | size of the total moment (μB per atom) |
| --- | --- |
| 1 | 0.000 |
| 2 | 0.000 |
| 3 | 0.000 |
| 4 | 0.000 |
| 5 | 0.000 |
| 6 | 0.382 |
| 7 | 0.001 |
| 8 | 0.000 |
| 9 | 0.000 |
| 10 | 0.000 |
| 11 | 0.000 |
| 12 | 0.000 |